(1)
Entry from Alexandria: a relaxed structure of YCuRe2 (PBE).

a b c (Å): 3.196 4.820 4.612
angles (deg): 90.00 97.96 90.00
Fractional positions:
Y  0.000  0.000  0.000
Cu  0.500  0.000  0.500
Re  0.328  0.500  0.732
Re  0.672  0.500  0.268

## Properties
Its space group is P2/m, No. 10. The calculation puts the distance to the lowest polymorph of the same formula at 0.282 eV per atom.

=====

(2)
Entry from Alexandria: a relaxed structure of SrCa2InPd (PBE).

a b c (Å): 5.544 5.544 5.829
angles (deg): 90.00 90.00 90.00
Fractional positions:
Sr  0.000  0.000  0.000
Ca  0.000  0.500  0.500
Ca  0.500  0.000  0.500
In  0.500  0.500  0.000
Pd  0.000  0.000  0.500

## Properties
Its space group is P4/mmm, No. 123. The calculation puts the distance to the lowest polymorph of the same formula at 0.044 eV per atom.

=====

(3)
Entry from Alexandria: a relaxed structure of SrZn4 (PBE).

a b c (Å): 6.342 6.342 6.342
angles (deg): 90.00 90.00 90.00
Fractional positions:
Sr  0.000  0.000  0.000
Zn  0.000  0.000  0.500
Zn  0.000  0.500  0.000
Zn  0.500  0.000  0.000
Zn  0.500  0.500  0.500

## Properties
Its space group is Pm-3m, No. 221.

=====

no.,V (Å³/atom),D(E_F) (states/eV/cell),formation energy (eV/atom)
1,17.588,3.0,0.365
2,35.837,2.9,-0.329
3,51.015,4.0,0.826